Record 1
Compound: TePPt
Source: the Alexandria database
Functional: PBE
Structure: optimized geometry

The calculation puts the uncorrected formation energy at 0.155 eV per atom. The value obtained for the calculated volume is 21.07 Å³/atom. As for the density of states at the Fermi level: 1.4 states/eV per cell. The polymorph energy (0 for the lowest one) comes out at 486.0 meV per atom.

a = 6.015 Å, b = 6.015 Å, c = 6.015 Å
α = 147.32°, β = 147.32°, γ = 46.90°
Fractional positions:
Te (0.311, 0.311, 0.000)
P (0.064, 0.064, 0.000)
Pt (0.625, 0.625, 0.000)

---

Record 2
Compound: Y2TlBi
Source: the Alexandria database
Functional: PBE
Structure: optimized geometry

The energy of formation comes out at -0.51 eV per atom. The value obtained for the calculated volume is 31.27 Å³/atom. As for the density of states at the Fermi level: 9.6 states/eV per cell. The polymorph energy (0 for the lowest one) comes out at 107.7 meV per atom.

a = 4.174 Å, b = 8.349 Å, c = 14.356 Å
α = 90.00°, β = 90.00°, γ = 90.00°
Fractional positions:
Y (0.750, 0.305, 0.505)
Y (0.250, 0.695, 0.495)
Y (0.750, 0.805, 0.995)
Y (0.250, 0.195, 0.005)
Y (0.750, 0.190, 0.763)
Y (0.250, 0.310, 0.263)
Y (0.750, 0.690, 0.737)
Y (0.250, 0.810, 0.237)
Tl (0.250, 0.544, 0.084)
Tl (0.250, 0.044, 0.416)
Tl (0.750, 0.456, 0.916)
Tl (0.750, 0.956, 0.584)
Bi (0.750, 0.070, 0.158)
Bi (0.250, 0.930, 0.842)
Bi (0.750, 0.570, 0.342)
Bi (0.250, 0.430, 0.658)

---

Record 3
Compound: KSrF
Source: the Alexandria database
Functional: PBE
Structure: optimized geometry

The calculation puts the uncorrected formation energy at -1.889 eV per atom. The value obtained for the calculated volume is 41.40 Å³/atom. As for the density of states at the Fermi level: 3.0 states/eV per cell. The polymorph energy (0 for the lowest one) comes out at 0.0 meV per atom.

a = 4.251 Å, b = 4.251 Å, c = 13.745 Å
α = 90.00°, β = 90.00°, γ = 90.00°
Fractional positions:
Sr (0.500, 0.000, 0.600)
Sr (0.000, 0.500, 0.400)
K (0.500, 0.000, 0.140)
K (0.000, 0.500, 0.860)
F (0.500, 0.500, 0.500)
F (0.000, 0.000, 0.500)

---

Record 4
Compound: NaYTe2
Source: the Alexandria database
Functional: PBE
Structure: optimized geometry

The calculation puts the uncorrected formation energy at -1.159 eV per atom. The value obtained for the calculated volume is 35.52 Å³/atom. As for the density of states at the Fermi level: 0.0 states/eV per cell.

a = 8.205 Å, b = 4.650 Å, c = 14.898 Å
α = 90.00°, β = 90.00°, γ = 90.00°
Fractional positions:
Y (0.100, 0.250, 0.609)
Y (0.400, 0.750, 0.109)
Y (0.900, 0.750, 0.391)
Y (0.600, 0.250, 0.891)
Na (0.353, 0.250, 0.342)
Na (0.147, 0.750, 0.842)
Na (0.647, 0.750, 0.658)
Na (0.853, 0.250, 0.158)
Te (0.776, 0.250, 0.499)
Te (0.724, 0.750, 0.999)
Te (0.224, 0.750, 0.501)
Te (0.276, 0.250, 0.001)
Te (0.399, 0.250, 0.727)
Te (0.101, 0.750, 0.227)
Te (0.601, 0.750, 0.273)
Te (0.899, 0.250, 0.773)